Ca2MnZnO5 | PBE+U | relaxed

Lattice parameters (Å, degrees): 3.1522 6.8657 10.4157 90.00 90.00 103.27
Sites, in units of the cell vectors:
Ca1 0.8672 0.7345 0.8020
Ca2 0.0829 0.1659 0.6550
Ca3 0.1328 0.2655 0.3020
Ca4 0.9171 0.8341 0.1550
O1 0.7123 0.4247 0.9125
O2 0.3682 0.7364 0.9963
O3 0.9189 0.8378 0.5545
O4 0.0811 0.1622 0.0545
O5 0.2614 0.5228 0.6541
O6 0.6318 0.2636 0.4963
O7 0.4984 0.9967 0.7764
O8 0.7386 0.4772 0.1541
O9 0.5016 0.0033 0.2764
O10 0.2877 0.5753 0.4125
Zn1 0.5549 0.1098 0.9438
Zn2 0.4451 0.8902 0.4438
Mn1 0.2282 0.4564 0.0294
Mn2 0.7718 0.5436 0.5294

* total moment: 5.98 μB/cell
* raw total energy: -6.25 eV per atom
* crystal system: orthorhombic